Compound: Ac2Al5Ir3
Source: the Alexandria database
Functional: GGA-PBE
Structure: relaxed

```
Ac2Al5Ir3
1.0
5.749 0.000 2.175
2.496 8.098 2.088
-0.015 -0.193 8.725
Al Ir Ac
10 6 4
direct
0.491 0.259 0.259 Al
0.885 0.986 0.244 Al
0.750 0.500 0.500 Al
0.009 0.741 0.741 Al
0.250 0.500 0.500 Al
0.115 0.014 0.756 Al
0.991 0.259 0.259 Al
0.615 0.756 0.014 Al
0.385 0.244 0.986 Al
0.509 0.741 0.741 Al
0.123 0.244 0.511 Ir
0.377 0.489 0.756 Ir
0.877 0.756 0.489 Ir
0.623 0.511 0.244 Ir
0.250 0.000 0.000 Ir
0.750 0.000 0.000 Ir
0.128 0.623 0.120 Ac
0.372 0.880 0.377 Ac
0.628 0.120 0.623 Ac
0.872 0.377 0.880 Ac
```

Computed properties:
DOS at the Fermi energy ... 11.484 states/eV/cell
VASP energy ... -121.91 eV per cell
Calculated volume ... 407.7 Å³/cell
Total moment ... 0.00 μB/f.u.
E_form ... -71.8 kJ/mol of atoms
SG ... No. 72